[1]
Material: BaMgAl2Ga2
Method: DFT, GGA-PBE
State: optimized geometry

POSCAR file:
```
BaMgAl2Ga2
1.0
4.5806 0.0000 0.0000
-2.2903 3.9669 0.0000
0.0000 0.0000 7.7663
Ga Al Mg Ba
2 2 1 1
Direct
0.6667 0.3333 0.6998
0.3333 0.6667 0.3002
0.3333 0.6667 0.6809
0.6667 0.3333 0.3191
0.0000 0.0000 0.5000
0.0000 0.0000 0.0000
```

volume	141.1	Å³/cell
ΔE_f	-267	meV per atom
M_tot	0.0	μB/cell
space-group type	P-3m1 (164)

---

[2]
Material: BaMgAl2Ga4
Method: DFT, GGA-PBE
State: optimized geometry

POSCAR file:
```
BaMgAl2Ga4
1.0
4.6572 0.0000 0.0000
2.3286 4.0332 0.0000
2.3286 1.3444 9.5976
Al Mg Ga Ba
2 1 4 1
Direct
0.2310 0.2310 0.3071
0.7690 0.7690 0.6929
0.5000 0.5000 0.5000
0.4060 0.4060 0.7819
0.8697 0.8697 0.3908
0.1303 0.1303 0.6092
0.5940 0.5940 0.2181
0.0000 0.0000 0.0000
```

volume	180.3	Å³/cell
ΔE_f	-187	meV per atom
M_tot	0.0	μB/cell
space-group type	R-3m (166)

---

[3]
Material: Ba2MgAl3Ga4
Method: DFT, GGA-PBE
State: optimized geometry

POSCAR file:
```
Ba2MgAl3Ga4
1.0
-4.1231 2.0160 -0.5661
-1.5371 -3.7628 -2.2054
-3.4207 -4.2771 9.6818
Ga Mg Ba Al
4 1 2 3
Direct
0.0000 0.5000 0.3633
0.5000 0.5000 0.0000
0.5000 0.0000 0.6367
0.0000 0.0000 0.0000
0.5000 0.5000 0.5000
0.0000 0.5000 0.7584
0.5000 0.0000 0.2416
0.0000 0.0000 0.5000
0.5000 0.0000 0.8743
0.0000 0.5000 0.1257
```

volume	237.9	Å³/cell
ΔE_f	-361	meV per atom
M_tot	0.0	μB/cell
space-group type	P-4m2 (115)

---

[4]
Material: BaMnAlGa2
Method: DFT, GGA-PBE
State: optimized geometry

POSCAR file:
```
BaMnAlGa2
1.0
4.7914 0.0000 0.0000
0.0000 4.7914 0.0000
0.0000 0.0000 4.7498
Ga Al Ba Mn
2 1 1 1
Direct
0.0000 0.5000 0.0000
0.5000 0.0000 0.0000
0.0000 0.0000 0.5000
0.5000 0.5000 0.5000
0.0000 0.0000 0.0000
```

volume	109.0	Å³/cell
ΔE_f	-278	meV per atom
M_tot	0.0	μB/cell
space-group type	P4/mmm (123)

---

[5]
Material: Ba2AlGaMo
Method: DFT, GGA-PBE
State: optimized geometry

POSCAR file:
```
Ba2AlGaMo
1.0
6.4168 0.0000 0.0000
0.0000 4.7179 0.0000
0.0000 0.0000 6.4168
Ba Ga Mo Al
2 1 1 1
Direct
0.5000 0.0000 0.0000
0.0000 0.0000 0.5000
0.0000 0.0000 0.0000
0.5000 0.5000 0.5000
0.0000 0.5000 0.0000
```

volume	194.3	Å³/cell
ΔE_f	805	meV per atom
M_tot	4.6	μB/cell
space-group type	P4/mmm (123)

---

[6]
Material: BaAlGaP2
Method: DFT, GGA-PBE
State: optimized geometry

POSCAR file:
```
BaAlGaP2
1.0
-1.8197 -1.0461 -4.6036
-3.3492 -2.9250 1.9885
-3.1915 3.9082 0.3735
P Ga Al Ba
2 1 1 1
Direct
0.5000 0.0000 0.0000
0.0000 0.0000 0.5000
0.0000 0.0000 0.0000
0.0000 0.5000 0.0000
0.5000 0.5000 0.5000
```

volume	124.7	Å³/cell
ΔE_f	45	meV per atom
M_tot	0.0	μB/cell
space-group type	P4/mmm (123)

---

[7]
Material: BaAlGaPb2
Method: DFT, GGA-PBE
State: optimized geometry

POSCAR file:
```
BaAlGaPb2
1.0
-4.4156 -0.1225 3.4213
-1.5506 -4.4137 -2.1594
2.9821 -2.8802 3.7456
Pb Ba Al Ga
2 1 1 1
Direct
0.5000 0.0000 0.0000
0.0000 0.0000 0.5000
0.5000 0.5000 0.5000
0.0000 0.0000 0.0000
0.0000 0.5000 0.0000
```

volume	160.9	Å³/cell
ΔE_f	-44	meV per atom
M_tot	0.0	μB/cell
space-group type	P4/mmm (123)

---

[8]
Material: BaAlGaPd
Method: DFT, GGA-PBE
State: optimized geometry

POSCAR file:
```
BaAlGaPd
1.0
4.3862 0.0000 0.0000
2.1931 3.7986 0.0000
2.1931 1.2662 6.0651
Ga Ba Pd Al
1 1 1 1
Direct
0.0057 0.0057 0.9828
0.8069 0.8069 0.5792
0.3012 0.3012 0.0965
0.6120 0.6120 0.1639
```

volume	101.1	Å³/cell
ΔE_f	-561	meV per atom
M_tot	0.3	μB/cell
space-group type	R3m (160)

---

[9]
Material: Ba2AlGaPd2
Method: DFT, GGA-PBE
State: optimized geometry

POSCAR file:
```
Ba2AlGaPd2
1.0
6.2449 0.0000 0.0000
0.0000 6.2516 0.0000
-3.1224 -3.1258 8.7164
Ba Pd Al Ga
4 4 2 2
Direct
0.0892 0.3425 0.6850
0.9108 0.6575 0.3150
0.4042 0.1575 0.3150
0.5958 0.8425 0.6850
0.8192 0.0768 0.1536
0.3344 0.5768 0.1536
0.6656 0.4232 0.8464
0.1808 0.9232 0.8464
0.5000 0.2500 0.0000
0.5000 0.7500 0.0000
0.0000 0.7500 0.0000
0.0000 0.2500 0.0000
```

volume	340.3	Å³/cell
ΔE_f	-577	meV per atom
M_tot	0.0	μB/cell
space-group type	Ibam (72)

---

[10]
Material: Ba2AlGaPd6
Method: DFT, GGA-PBE
State: optimized geometry

POSCAR file:
```
Ba2AlGaPd6
1.0
6.7945 0.0665 0.0651
-0.0660 6.8686 0.0571
3.3228 3.5566 4.8834
Pd Al Ga Ba
6 1 1 2
Direct
0.7645 0.2564 0.8882
0.2566 0.3459 0.5076
0.3463 0.2354 0.9101
0.2355 0.7436 0.1118
0.6537 0.7646 0.0900
0.7434 0.6541 0.4924
0.0000 0.0000 0.0000
0.5000 0.5000 0.0000
0.7869 0.2135 0.4259
0.2131 0.7865 0.5741
```

volume	225.1	Å³/cell
ΔE_f	-612	meV per atom
M_tot	0.0	μB/cell
space-group type	P-1 (2)

---

[11]
Material: Ba2Al6GaPd
Method: DFT, GGA-PBE
State: optimized geometry

POSCAR file:
```
Ba2Al6GaPd
1.0
6.6773 -0.0145 0.0130
-0.0294 7.2795 -0.5330
3.3655 3.2561 4.7364
Pd Al Ba Ga
1 6 2 1
Direct
0.0000 0.0000 0.0000
0.6423 0.1374 0.1180
0.7566 0.8615 0.4929
0.2434 0.1385 0.5071
0.2501 0.1348 0.1106
0.7499 0.8652 0.8894
0.3577 0.8626 0.8820
0.2039 0.6125 0.5908
0.7961 0.3875 0.4091
0.5000 0.5000 0.0000
```

volume	241.5	Å³/cell
ΔE_f	-341	meV per atom
M_tot	0.0	μB/cell
space-group type	P-1 (2)

---

[12]
Material: Ba2AlGa3Pt4
Method: DFT, GGA-PBE
State: optimized geometry

POSCAR file:
```
Ba2AlGa3Pt4
1.0
-1.1326 -4.3714 0.0258
3.4326 -0.9058 -2.7909
6.3323 -1.5916 8.3047
Pt Ga Ba Al
4 3 2 1
Direct
0.5000 0.5000 0.0000
0.0000 0.0000 0.0000
0.0000 0.5000 0.3777
0.5000 0.0000 0.6223
0.5000 0.0000 0.8803
0.0000 0.0000 0.5000
0.0000 0.5000 0.1197
0.5000 0.0000 0.2449
0.0000 0.5000 0.7551
0.5000 0.5000 0.5000
```

volume	215.4	Å³/cell
ΔE_f	-829	meV per atom
M_tot	0.0	μB/cell
space-group type	P-4m2 (115)

---

[13]
Material: Ba2AlGaPt6
Method: DFT, GGA-PBE
State: optimized geometry

POSCAR file:
```
Ba2AlGaPt6
1.0
-1.5514 3.7740 5.5180
0.9833 -5.4165 3.9842
4.3480 0.4270 5.1909
Pt Ba Ga Al
6 2 1 1
Direct
0.1421 0.2546 0.1111
0.7467 0.8580 0.5080
0.2533 0.1420 0.4920
0.2544 0.7469 0.8882
0.8579 0.7454 0.8889
0.7456 0.2531 0.1118
0.7058 0.2943 0.5883
0.2942 0.7057 0.4117
0.5000 0.5000 0.0000
0.0000 0.0000 0.0000
```

volume	224.6	Å³/cell
ΔE_f	-733	meV per atom
M_tot	0.0	μB/cell
space-group type	P-1 (2)

---

[14]
Material: BaAlGa2Re
Method: DFT, GGA-PBE
State: optimized geometry

POSCAR file:
```
BaAlGa2Re
1.0
4.9558 0.0000 0.0000
0.0000 4.9558 0.0000
0.0000 0.0000 4.9140
Ga Re Al Ba
2 1 1 1
Direct
0.0000 0.5000 0.0000
0.5000 0.0000 0.0000
0.0000 0.0000 0.0000
0.0000 0.0000 0.5000
0.5000 0.5000 0.5000
```

volume	120.7	Å³/cell
ΔE_f	-304	meV per atom
M_tot	0.0	μB/cell
space-group type	P4/mmm (123)

---

[15]
Material: BaAl2GaRe
Method: DFT, GGA-PBE
State: optimized geometry

POSCAR file:
```
BaAl2GaRe
1.0
-4.3353 2.2546 -0.6211
-0.1056 -1.4957 -4.6921
-2.3569 -4.1528 1.3768
Al Ba Ga Re
2 1 1 1
Direct
0.5000 0.0000 0.0000
0.0000 0.5000 0.0000
0.5000 0.5000 0.5000
0.0000 0.0000 0.5000
0.0000 0.0000 0.0000
```

volume	120.6	Å³/cell
ΔE_f	-269	meV per atom
M_tot	0.0	μB/cell
space-group type	P4/mmm (123)

---

[16]
Material: BaAlGaS2
Method: DFT, GGA-PBE
State: optimized geometry

POSCAR file:
```
BaAlGaS2
1.0
-4.1060 -2.3740 -0.5799
2.3907 -3.0226 -4.5539
1.5183 -3.3667 3.0317
Al S Ba Ga
1 2 1 1
Direct
0.0000 0.0000 0.0000
0.0000 0.0000 0.5000
0.5000 0.0000 0.0000
0.0000 0.5000 0.0000
0.5000 0.5000 0.5000
```

volume	136.2	Å³/cell
energy relative to the elements, uncorrected	-0.13	eV per atom
M_tot	0.0	μB/cell
space-group type	P4/mmm (123)

---

[17]
Material: BaAlGa2S6
Method: DFT, GGA-PBE
State: optimized geometry

POSCAR file:
```
BaAlGa2S6
1.0
-3.4344 0.2576 -6.9673
-2.9607 -8.0755 -2.6056
-8.7016 2.1650 0.6029
S Al Ba Ga
12 2 2 4
Direct
0.8147 0.0592 0.1721
0.6491 0.5662 0.6794
0.9590 0.3787 0.8791
0.8509 0.3206 0.4338
0.3147 0.1721 0.0592
0.4590 0.8791 0.3787
0.5410 0.1209 0.6213
0.6853 0.8279 0.9408
0.1853 0.9408 0.8279
0.1491 0.6794 0.5662
0.0410 0.6213 0.1209
0.3509 0.4338 0.3206
0.7500 0.8287 0.1713
0.2500 0.1713 0.8287
0.7500 0.1677 0.8323
0.2500 0.8323 0.1677
0.6018 0.2410 0.3867
0.8982 0.6133 0.7590
0.1018 0.3867 0.2410
0.3982 0.7590 0.6133
```

volume	537.9	Å³/cell
energy relative to the elements, uncorrected	-0.92	eV per atom
M_tot	2.0	μB/cell
space-group type	C2/c (15)

---

[18]
Material: BaAlGa2Si
Method: DFT, GGA-PBE
State: optimized geometry

POSCAR file:
```
BaAlGa2Si
1.0
-3.4112 0.6935 -2.9417
-1.6341 -4.3482 0.8698
-0.4321 3.7121 4.9066
Ba Al Ga Si
1 1 2 1
Direct
0.4406 0.4406 0.8812
0.1925 0.6925 0.3850
0.6964 0.1964 0.3928
0.0652 0.0652 0.1303
0.8175 0.8175 0.6351
```

volume	112.5	Å³/cell
energy relative to the elements, uncorrected	-0.32	eV per atom
M_tot	0.0	μB/cell
space-group type	Imm2 (44)

---

[19]
Material: Ba2AlGaSi
Method: DFT, GGA-PBE
State: optimized geometry

POSCAR file:
```
Ba2AlGaSi
1.0
6.4079 0.0000 0.0000
0.0000 4.6453 0.0000
0.0000 0.0000 6.4079
Si Ga Al Ba
1 1 1 2
Direct
0.0000 0.5000 0.0000
0.5000 0.5000 0.5000
0.0000 0.0000 0.0000
0.0000 0.0000 0.5000
0.5000 0.0000 0.0000
```

volume	190.7	Å³/cell
energy relative to the elements, uncorrected	0.21	eV per atom
M_tot	1.1	μB/cell
space-group type	P4/mmm (123)

---

[20]
Material: Ba2Al4GaSi3
Method: DFT, GGA-PBE
State: optimized geometry

POSCAR file:
```
Ba2Al4GaSi3
1.0
-2.1101 2.3152 -3.4905
-4.1258 -1.8230 1.2850
-1.5698 7.9282 6.2078
Si Al Ga Ba
3 4 1 2
Direct
0.0000 0.0000 0.5000
0.0000 0.5000 0.1184
0.5000 0.0000 0.8816
0.5000 0.5000 0.0000
0.0000 0.5000 0.3776
0.0000 0.0000 0.0000
0.5000 0.0000 0.6224
0.5000 0.5000 0.5000
0.0000 0.5000 0.7454
0.5000 0.0000 0.2546
```

volume	224.2	Å³/cell
energy relative to the elements, uncorrected	-0.26	eV per atom
M_tot	0.0	μB/cell
space-group type	P-4m2 (115)